Computed, not measured: Pu2PCl2 after structural relaxation at the PBE level of DFT.

The space group is R-3m (No. 166, hexagonal axes) and the conventional cell measures 4.0572, 4.0572 and 29.5393 Å, with angles of 90.00, 90.00 and 120.00 degrees. The inequivalent atoms are Pu at (0.0000, 0.0000, 0.1126), P at (0.0000, 0.0000, 0.5000) and Cl at (0.0000, 0.0000, 0.2746).

The calculation puts the uncorrected energy at -45.65 eV per formula unit. Its uncorrected formation energy is -152 kJ per mole of atoms. For the mass density, the calculation gives 6.978 Mg/m³. As for the density of states at the Fermi level: 4.0588 states/eV/atom.